Record 1
Computed, not measured: a relaxed KLaOs2 crystal at the GGA-PBE level of DFT.

Cell: 11.258 11.258 11.258 Å, 14.76 14.76 14.76°
Fractional positions:
K  0.250  0.250  0.250
La  0.750  0.750  0.750
Os  0.003  0.003  0.003
Os  0.497  0.497  0.497

Record 2
Computed, not measured: a relaxed KLa3Os crystal at the GGA-PBE level of DFT.

Cell: 5.789 5.789 5.789 Å, 90.00 90.00 90.00°
Fractional positions:
K  0.500  0.500  0.500
Os  0.000  0.000  0.000
La  0.000  0.500  0.000
La  0.000  0.000  0.500
La  0.500  0.000  0.000

Record 3
Computed, not measured: a relaxed KLaOs2 crystal at the GGA-PBE level of DFT.

Cell: 5.479 5.479 3.278 Å, 90.00 90.00 120.84°
Fractional positions:
K  0.500  0.000  0.500
La  0.000  0.500  0.500
Os  0.000  0.000  0.000
Os  0.500  0.500  0.000

Record 4
Computed, not measured: a relaxed K2LaOs crystal at the GGA-PBE level of DFT.

Cell: 3.088 3.088 13.220 Å, 90.00 90.00 115.80°
Fractional positions:
K  0.000  0.000  0.955
K  0.000  0.000  0.545
La  0.500  0.500  0.250
Os  0.500  0.500  0.750

Record 5
Computed, not measured: a relaxed KLa2Os crystal at the GGA-PBE level of DFT.

Cell: 4.048 4.296 9.516 Å, 77.13 90.00 90.00°
Fractional positions:
K  0.500  0.581  0.716
La  0.000  0.894  0.081
La  0.500  0.259  0.358
Os  0.000  0.766  0.345

Record 6
Computed, not measured: a relaxed K2LaOs crystal at the GGA-PBE level of DFT.

Cell: 6.969 6.969 3.093 Å, 90.00 90.00 130.33°
Fractional positions:
K  0.000  0.000  0.000
K  0.500  0.500  0.000
La  0.500  0.000  0.500
Os  0.000  0.500  0.500

Record 7
Computed, not measured: a relaxed KLa2Os crystal at the GGA-PBE level of DFT.

Cell: 3.584 3.584 11.222 Å, 90.00 90.00 90.06°
Fractional positions:
K  0.500  0.500  0.750
La  0.000  0.000  0.098
La  0.000  0.000  0.402
Os  0.500  0.500  0.250

Record 8
Computed, not measured: a relaxed KLaOs2 crystal at the GGA-PBE level of DFT.

Cell: 2.959 2.959 10.378 Å, 90.00 90.00 114.57°
Fractional positions:
K  0.500  0.500  0.250
La  0.500  0.500  0.750
Os  0.000  0.000  0.978
Os  0.000  0.000  0.522

Record 9
Computed, not measured: a relaxed KLaOs2 crystal at the GGA-PBE level of DFT.

Cell: 5.832 5.832 5.832 Å, 147.69 130.19 60.62°
Fractional positions:
K  0.750  0.250  0.500
La  0.250  0.750  0.500
Os  0.012  0.012  0.000
Os  0.488  0.488  0.000

Record 10
Computed, not measured: a relaxed KLaOs2 crystal at the GGA-PBE level of DFT.

Cell: 4.256 4.256 9.024 Å, 77.25 77.25 59.97°
Fractional positions:
K  0.461  0.461  0.598
La  0.301  0.301  0.114
Os  0.036  0.036  0.893
Os  0.702  0.702  0.895

Number 1: energy relative to the elements 1.1316 eV per atom, total magnetic moment 0.2 μB per formula unit, energy above the lowest structure with this stoichiometry 3.28 eV/f.u.. Number 2: energy relative to the elements 0.0437 eV per atom, total magnetic moment 0.0 μB per formula unit, energy above the lowest structure with this stoichiometry 0.00 eV/f.u.. Number 3: energy relative to the elements 1.1679 eV per atom, total magnetic moment 0.0 μB per formula unit, energy above the lowest structure with this stoichiometry 3.42 eV/f.u.. Number 4: energy relative to the elements 1.2481 eV per atom, total magnetic moment 1.2 μB per formula unit, energy above the lowest structure with this stoichiometry 3.19 eV/f.u.. Number 5: energy relative to the elements 0.1891 eV per atom, total magnetic moment 0.0 μB per formula unit, energy above the lowest structure with this stoichiometry 0.92 eV/f.u.. Number 6: energy relative to the elements 1.1270 eV per atom, total magnetic moment 0.9 μB per formula unit, energy above the lowest structure with this stoichiometry 2.70 eV/f.u.. Number 7: energy relative to the elements 0.0477 eV per atom, total magnetic moment 0.0 μB per formula unit, energy above the lowest structure with this stoichiometry 0.35 eV/f.u.. Number 8: energy relative to the elements 1.0174 eV per atom, total magnetic moment 0.0 μB per formula unit, energy above the lowest structure with this stoichiometry 2.82 eV/f.u.. Number 9: energy relative to the elements 1.1510 eV per atom, total magnetic moment 0.0 μB per formula unit, energy above the lowest structure with this stoichiometry 3.36 eV/f.u.. Number 10: energy relative to the elements 0.3120 eV per atom, total magnetic moment 0.7 μB per formula unit, energy above the lowest structure with this stoichiometry 0.00 eV/f.u..